# 1
{"formula": "Ca3Ac4In4", "functional": "GGA-PBE", "state": "relaxed", "cell": [[-1.929, 5.071, 10.172], [1.929, -5.071, 10.172], [1.929, 5.071, -10.172]], "species": ["Ca", "Ca", "Ca", "Ac", "Ac", "Ac", "Ac", "In", "In", "In", "In"], "fractional_positions": [[0.000, 0.000, 0.000], [0.408, 0.908, 0.500], [0.592, 0.092, 0.500], [0.015, 0.335, 0.680], [0.345, 0.665, 0.680], [0.655, 0.335, 0.320], [0.985, 0.665, 0.320], [0.276, 0.276, 0.000], [0.284, 0.500, 0.784], [0.716, 0.500, 0.216], [0.724, 0.724, 0.000]], "n_ef_per_ev_fu": 13.4, "rho_g_cm3": 6.21, "spacegroup": "No. 71", "e_form_ev_per_atom": -0.255}

---

# 2
{"formula": "Ca3Ac2In4", "functional": "GGA-PBE", "state": "relaxed", "cell": [[3.537, -9.866, 0.000], [3.537, 9.866, 0.000], [0.000, 0.000, 8.607]], "species": ["Ca", "Ca", "Ca", "Ca", "Ca", "Ca", "Ac", "Ac", "Ac", "Ac", "In", "In", "In", "In", "In", "In", "In", "In"], "fractional_positions": [[0.000, 0.000, 0.000], [0.010, 0.490, 0.250], [0.490, 0.010, 0.750], [0.500, 0.500, 0.500], [0.510, 0.990, 0.250], [0.990, 0.510, 0.750], [0.091, 0.909, 0.402], [0.409, 0.591, 0.902], [0.591, 0.409, 0.098], [0.909, 0.091, 0.598], [0.161, 0.839, 0.017], [0.176, 0.324, 0.250], [0.324, 0.176, 0.750], [0.339, 0.661, 0.517], [0.661, 0.339, 0.483], [0.676, 0.824, 0.250], [0.824, 0.676, 0.750], [0.839, 0.161, 0.983]], "n_ef_per_ev_fu": 5.5, "rho_g_cm3": 5.71, "relative_energy_ev_per_atom": 0.036, "spacegroup": "No. 64", "e_form_ev_per_atom": -0.348}

---

# 3
{"formula": "Ca2Ac5In4", "functional": "GGA-PBE", "state": "relaxed", "cell": [[12.123, -2.034, 0.000], [12.123, 2.034, 0.000], [-3.590, 0.000, 8.612]], "species": ["Ca", "Ca", "Ac", "Ac", "Ac", "Ac", "Ac", "In", "In", "In", "In"], "fractional_positions": [[0.077, 0.077, 0.077], [0.923, 0.923, 0.923], [0.000, 0.000, 0.500], [0.340, 0.340, 0.127], [0.340, 0.340, 0.553], [0.660, 0.660, 0.447], [0.660, 0.660, 0.873], [0.216, 0.216, 0.216], [0.500, 0.500, 0.209], [0.500, 0.500, 0.791], [0.784, 0.784, 0.784]], "n_ef_per_ev_fu": 10.3, "rho_g_cm3": 6.55, "spacegroup": "No. 12", "e_form_ev_per_atom": -0.190}

---

# 4
{"formula": "CaAc3In2", "functional": "GGA-PBE", "state": "relaxed", "cell": [[5.726, 0.000, 0.000], [0.000, 10.500, 0.000], [0.000, 0.000, 7.319]], "species": ["Ca", "Ca", "Ac", "Ac", "Ac", "Ac", "Ac", "Ac", "In", "In", "In", "In"], "fractional_positions": [[0.000, 0.039, 0.000], [0.000, 0.961, 0.500], [0.000, 0.321, 0.679], [0.000, 0.679, 0.179], [0.500, 0.168, 0.282], [0.500, 0.463, 0.965], [0.500, 0.537, 0.465], [0.500, 0.832, 0.782], [0.000, 0.346, 0.198], [0.000, 0.654, 0.698], [0.500, 0.151, 0.766], [0.500, 0.849, 0.266]], "n_ef_per_ev_fu": 5.7, "rho_g_cm3": 7.18, "relative_energy_ev_per_atom": 0.000, "spacegroup": "No. 26", "e_form_ev_per_atom": -0.320}

---

# 5
{"formula": "Ca2AcIn3", "functional": "GGA-PBE", "state": "relaxed", "cell": [[3.910, 0.000, 0.000], [0.000, 3.910, 0.000], [0.000, 0.000, 12.025]], "species": ["Ca", "Ca", "Ac", "In", "In", "In"], "fractional_positions": [[0.000, 0.000, 0.156], [0.000, 0.000, 0.844], [0.000, 0.000, 0.500], [0.500, 0.500, 0.000], [0.500, 0.500, 0.314], [0.500, 0.500, 0.686]], "n_ef_per_ev_fu": 5.7, "rho_g_cm3": 5.88, "spacegroup": "No. 123", "e_form_ev_per_atom": -0.453}

---

# 6
{"formula": "Ca3Ac2In4", "functional": "GGA-PBE", "state": "relaxed", "cell": [[4.873, -2.809, 0.000], [4.873, 2.809, 0.000], [-0.028, 0.000, 10.842]], "species": ["Ca", "Ca", "Ca", "Ac", "Ac", "In", "In", "In", "In"], "fractional_positions": [[0.000, 0.000, 0.000], [0.334, 0.334, 0.419], [0.666, 0.666, 0.581], [0.333, 0.333, 0.793], [0.667, 0.667, 0.207], [0.001, 0.001, 0.354], [0.334, 0.334, 0.105], [0.666, 0.666, 0.895], [0.999, 0.999, 0.646]], "n_ef_per_ev_fu": 7.1, "rho_g_cm3": 5.78, "relative_energy_ev_per_atom": 0.000, "spacegroup": "No. 12", "e_form_ev_per_atom": -0.384}

---

# 7
{"formula": "Ca3Ac2In2", "functional": "GGA-PBE", "state": "relaxed", "cell": [[2.909, 1.680, 8.665], [-2.909, 1.680, 8.665], [0.000, -3.359, 8.665]], "species": ["Ca", "Ca", "Ca", "Ac", "Ac", "In", "In"], "fractional_positions": [[0.000, 0.000, 0.000], [0.143, 0.143, 0.143], [0.857, 0.857, 0.857], [0.404, 0.404, 0.404], [0.596, 0.596, 0.596], [0.269, 0.269, 0.269], [0.731, 0.731, 0.731]], "n_ef_per_ev_fu": 5.7, "rho_g_cm3": 5.25, "spacegroup": "No. 166", "e_form_ev_per_atom": -0.281}

---

# 8
{"formula": "CaAc2In3", "functional": "GGA-PBE", "state": "relaxed", "cell": [[5.702, 0.000, 0.000], [-2.851, 4.938, 0.000], [0.000, 0.000, 14.072]], "species": ["Ca", "Ca", "Ac", "Ac", "Ac", "Ac", "In", "In", "In", "In", "In", "In"], "fractional_positions": [[0.333, 0.667, 0.167], [0.667, 0.333, 0.833], [0.000, 0.000, 0.000], [0.000, 0.000, 0.500], [0.333, 0.667, 0.676], [0.667, 0.333, 0.324], [0.000, 0.000, 0.245], [0.000, 0.000, 0.755], [0.333, 0.667, 0.415], [0.333, 0.667, 0.919], [0.667, 0.333, 0.081], [0.667, 0.333, 0.585]], "n_ef_per_ev_fu": 4.7, "rho_g_cm3": 7.03, "spacegroup": "No. 164", "e_form_ev_per_atom": -0.438}

---

# 9
{"formula": "CaAc2In2", "functional": "GGA-PBE", "state": "relaxed", "cell": [[-2.642, 3.602, 4.698], [2.642, -3.602, 4.698], [2.642, 3.602, -4.698]], "species": ["Ca", "Ac", "Ac", "In", "In"], "fractional_positions": [[0.000, 0.000, 0.000], [0.305, 0.805, 0.500], [0.695, 0.195, 0.500], [0.286, 0.500, 0.786], [0.714, 0.500, 0.214]], "n_ef_per_ev_fu": 4.3, "rho_g_cm3": 6.72, "spacegroup": "No. 71", "e_form_ev_per_atom": -0.371}

---

# 10
{"formula": "CaAc6In5", "functional": "GGA-PBE", "state": "relaxed", "cell": [[-2.916, 4.144, 8.824], [2.916, -4.144, 8.824], [2.916, 4.144, -8.824]], "species": ["Ca", "Ac", "Ac", "Ac", "Ac", "Ac", "Ac", "In", "In", "In", "In", "In"], "fractional_positions": [[0.000, 0.000, 0.000], [0.083, 0.825, 0.257], [0.270, 0.500, 0.770], [0.432, 0.175, 0.257], [0.568, 0.825, 0.743], [0.730, 0.500, 0.230], [0.917, 0.175, 0.743], [0.151, 0.651, 0.500], [0.332, 0.332, 0.000], [0.500, 0.000, 0.500], [0.668, 0.668, 0.000], [0.849, 0.349, 0.500]], "n_ef_per_ev_fu": 11.3, "rho_g_cm3": 7.69, "spacegroup": "No. 71", "e_form_ev_per_atom": -0.347}

---

# 11
{"formula": "Ca2AcIn", "functional": "GGA-PBE", "state": "relaxed", "cell": [[1.938, 1.119, 11.539], [-1.938, 1.119, 11.539], [0.000, -2.237, 11.539]], "species": ["Ca", "Ca", "Ac", "In"], "fractional_positions": [[0.000, 0.000, 0.000], [0.192, 0.192, 0.192], [0.762, 0.762, 0.762], [0.596, 0.596, 0.596]], "n_ef_per_ev_fu": 4.3, "rho_g_cm3": 4.67, "relative_energy_ev_per_atom": 0.114, "spacegroup": "No. 160", "e_form_ev_per_atom": -0.122}

---

# 12
{"formula": "CaAcIn6", "functional": "GGA-PBE", "state": "relaxed", "cell": [[5.039, 0.000, 0.000], [0.000, 7.053, 0.000], [0.000, 0.000, 6.428]], "species": ["Ca", "Ac", "In", "In", "In", "In", "In", "In"], "fractional_positions": [[0.000, 0.000, 0.000], [0.500, 0.500, 0.742], [0.000, 0.230, 0.522], [0.000, 0.500, 0.124], [0.000, 0.770, 0.522], [0.500, 0.000, 0.667], [0.500, 0.235, 0.219], [0.500, 0.765, 0.219]], "n_ef_per_ev_fu": 4.6, "rho_g_cm3": 6.95, "spacegroup": "No. 25", "e_form_ev_per_atom": -0.321}

---

# 13
{"formula": "CaAc3In2", "functional": "GGA-PBE", "state": "relaxed", "cell": [[9.154, -2.861, 0.000], [9.154, 2.861, 0.000], [-1.184, 0.000, 8.723]], "species": ["Ca", "Ca", "Ac", "Ac", "Ac", "Ac", "Ac", "Ac", "In", "In", "In", "In"], "fractional_positions": [[0.160, 0.160, 0.275], [0.840, 0.840, 0.725], [0.058, 0.058, 0.825], [0.318, 0.318, 0.006], [0.376, 0.376, 0.460], [0.624, 0.624, 0.540], [0.682, 0.682, 0.994], [0.942, 0.942, 0.175], [0.219, 0.219, 0.663], [0.466, 0.466, 0.826], [0.534, 0.534, 0.174], [0.781, 0.781, 0.337]], "n_ef_per_ev_fu": 4.9, "rho_g_cm3": 6.91, "relative_energy_ev_per_atom": 0.070, "spacegroup": "No. 12", "e_form_ev_per_atom": -0.250}

---

# 14
{"formula": "Ca2AcIn", "functional": "GGA-PBE", "state": "relaxed", "cell": [[5.097, 0.000, 0.000], [0.000, 5.097, 0.000], [0.000, 0.000, 5.492]], "species": ["Ca", "Ca", "Ac", "In"], "fractional_positions": [[0.000, 0.500, 0.000], [0.500, 0.000, 0.000], [0.000, 0.000, 0.500], [0.500, 0.500, 0.500]], "n_ef_per_ev_fu": 2.1, "rho_g_cm3": 4.91, "relative_energy_ev_per_atom": 0.018, "spacegroup": "No. 123", "e_form_ev_per_atom": -0.217}

---

# 15
{"formula": "Ca4Ac3In4", "functional": "GGA-PBE", "state": "relaxed", "cell": [[-2.718, 4.018, 8.839], [2.718, -4.018, 8.839], [2.718, 4.018, -8.839]], "species": ["Ca", "Ca", "Ca", "Ca", "Ac", "Ac", "Ac", "In", "In", "In", "In"], "fractional_positions": [[0.037, 0.822, 0.215], [0.393, 0.178, 0.215], [0.607, 0.822, 0.785], [0.963, 0.178, 0.785], [0.000, 0.500, 0.500], [0.392, 0.392, 0.000], [0.608, 0.608, 0.000], [0.199, 0.699, 0.500], [0.312, 0.000, 0.312], [0.688, 0.000, 0.688], [0.801, 0.301, 0.500]], "n_ef_per_ev_fu": 7.9, "rho_g_cm3": 5.59, "spacegroup": "No. 71", "e_form_ev_per_atom": -0.338}

---

# 16
{"formula": "CaAc12In6", "functional": "GGA-PBE", "state": "relaxed", "cell": [[8.230, 4.752, 3.125], [-8.230, 4.752, 3.125], [0.000, -9.503, 3.125]], "species": ["Ca", "Ac", "Ac", "Ac", "Ac", "Ac", "Ac", "Ac", "Ac", "Ac", "Ac", "Ac", "Ac", "In", "In", "In", "In", "In", "In"], "fractional_positions": [[0.000, 0.000, 0.000], [0.082, 0.723, 0.175], [0.175, 0.082, 0.723], [0.192, 0.486, 0.352], [0.277, 0.825, 0.918], [0.352, 0.192, 0.486], [0.486, 0.352, 0.192], [0.514, 0.648, 0.808], [0.648, 0.808, 0.514], [0.723, 0.175, 0.082], [0.808, 0.514, 0.648], [0.825, 0.918, 0.277], [0.918, 0.277, 0.825], [0.077, 0.356, 0.590], [0.356, 0.590, 0.077], [0.410, 0.923, 0.644], [0.590, 0.077, 0.356], [0.644, 0.410, 0.923], [0.923, 0.644, 0.410]], "n_ef_per_ev_fu": 25.8, "rho_g_cm3": 7.82, "spacegroup": "No. 148", "e_form_ev_per_atom": -0.146}

---

# 17
{"formula": "CaAc3In8", "functional": "GGA-PBE", "state": "relaxed", "cell": [[3.124, 1.803, 10.374], [-3.124, 1.803, 10.374], [0.000, -3.607, 10.374]], "species": ["Ca", "Ac", "Ac", "Ac", "In", "In", "In", "In", "In", "In", "In", "In"], "fractional_positions": [[0.000, 0.000, 0.000], [0.375, 0.375, 0.375], [0.501, 0.501, 0.501], [0.878, 0.878, 0.878], [0.188, 0.188, 0.188], [0.438, 0.938, 0.938], [0.439, 0.439, 0.938], [0.439, 0.938, 0.439], [0.688, 0.688, 0.688], [0.938, 0.438, 0.938], [0.938, 0.439, 0.439], [0.938, 0.938, 0.438]], "n_ef_per_ev_fu": 7.6, "rho_g_cm3": 7.76, "spacegroup": "No. 160", "e_form_ev_per_atom": -0.400}

---

# 18
{"formula": "CaAc4In3", "functional": "GGA-PBE", "state": "relaxed", "cell": [[5.081, -2.931, 0.000], [5.081, 2.931, 0.000], [-3.406, 0.000, 9.744]], "species": ["Ca", "Ac", "Ac", "Ac", "Ac", "In", "In", "In"], "fractional_positions": [[0.000, 0.000, 0.000], [0.133, 0.133, 0.400], [0.386, 0.386, 0.156], [0.614, 0.614, 0.844], [0.867, 0.867, 0.600], [0.262, 0.262, 0.788], [0.500, 0.500, 0.500], [0.738, 0.738, 0.212]], "n_ef_per_ev_fu": 8.5, "rho_g_cm3": 7.40, "spacegroup": "No. 12", "e_form_ev_per_atom": -0.316}

---

# 19
{"formula": "CaAc5In6", "functional": "GGA-PBE", "state": "relaxed", "cell": [[2.878, -8.664, 0.000], [2.878, 8.664, 0.000], [0.000, 0.000, 8.126]], "species": ["Ca", "Ac", "Ac", "Ac", "Ac", "Ac", "In", "In", "In", "In", "In", "In"], "fractional_positions": [[0.000, 0.000, 0.000], [0.000, 0.000, 0.500], [0.330, 0.670, 0.500], [0.337, 0.663, 0.000], [0.663, 0.337, 0.000], [0.670, 0.330, 0.500], [0.162, 0.838, 0.241], [0.162, 0.838, 0.759], [0.500, 0.500, 0.246], [0.500, 0.500, 0.754], [0.838, 0.162, 0.241], [0.838, 0.162, 0.759]], "n_ef_per_ev_fu": 9.6, "rho_g_cm3": 7.64, "spacegroup": "No. 65", "e_form_ev_per_atom": -0.429}

---

# 20
{"formula": "CaAc4In2", "functional": "GGA-PBE", "state": "relaxed", "cell": [[6.665, 0.000, 0.000], [-2.675, 7.165, 0.000], [-1.521, -1.162, 11.272]], "species": ["Ca", "Ca", "Ac", "Ac", "Ac", "Ac", "Ac", "Ac", "Ac", "Ac", "In", "In", "In", "In"], "fractional_positions": [[0.000, 0.000, 0.000], [0.365, 0.838, 0.859], [0.185, 0.822, 0.317], [0.193, 0.337, 0.311], [0.350, 0.147, 0.588], [0.503, 0.399, 0.900], [0.613, 0.685, 0.186], [0.628, 0.175, 0.161], [0.757, 0.734, 0.653], [0.919, 0.297, 0.734], [0.054, 0.526, 0.040], [0.220, 0.624, 0.579], [0.760, 0.428, 0.429], [0.773, 0.022, 0.435]], "n_ef_per_ev_fu": 7.8, "rho_g_cm3": 7.27, "relative_energy_ev_per_atom": 0.041, "spacegroup": "No. 1", "e_form_ev_per_atom": -0.164}